[1]
Computed, not measured: an optimized crystal structure of Tb6Ni2Hg at the PBE level of DFT.

Results
calculated formation energy: -0.325 eV/atom
mass density: 9.2 g/cm3
SG: Immm, No. 71

a b c (Å): 8.4178 8.4178 8.4178
angles (deg): 112.91 109.22 106.35
Closest atoms and distances in Å follow each position.
Fractional coordinates of all 18 atoms:
Tb 0.0338 0.2332 0.8007  1 Ni 2.81, 1 Hg 3.05
Tb 0.1819 0.2918 0.4736  3 Ni 2.90-3.20, 1 Hg 3.24
Tb 0.1819 0.7082 0.8901  3 Ni 2.90-3.20, 1 Hg 3.24
Tb 0.3252 0.0177 0.6925  3 Ni 2.72-2.88
Tb 0.3252 0.6327 0.3075  3 Ni 2.72-2.88
Tb 0.4325 0.2332 0.1993  1 Ni 2.81, 1 Hg 3.05
Tb 0.5675 0.7668 0.8007  1 Ni 2.81, 1 Hg 3.05
Tb 0.6748 0.3673 0.6925  3 Ni 2.72-2.88
Tb 0.6748 0.9823 0.3075  3 Ni 2.72-2.88
Tb 0.8181 0.2918 0.1099  3 Ni 2.90-3.20, 1 Hg 3.24
Tb 0.8181 0.7082 0.5264  3 Ni 2.90-3.20, 1 Hg 3.24
Tb 0.9662 0.7668 0.1993  1 Ni 2.81, 1 Hg 3.05
Ni 0.1229 0.6229 0.5000  1 Ni 2.48, 2 Tb 2.72
Ni 0.3560 0.0000 0.3560  6 Tb 2.81-2.88, 1 Ni 2.81
Ni 0.6440 0.0000 0.6440  6 Tb 2.81-2.88, 1 Ni 2.81
Ni 0.8771 0.3771 0.5000  1 Ni 2.48, 2 Tb 2.72
Hg 0.0000 0.0000 0.0000  8 Tb 3.05-3.24
Hg 0.5000 0.5000 0.0000  12 Tb 3.32-3.66

***

[2]
Computed, not measured: an optimized crystal structure of TlRu2Se at the PBE level of DFT.

Results
mass density: 8.5 g/cm3
formation energy from raw total energies: 0.746 eV per atom
SG: I-42d, No. 122

a b c (Å): 6.6895 6.6895 6.6895
angles (deg): 125.87 125.87 80.10
Closest atoms and distances in Å follow each position.
Fractional coordinates of all 8 atoms:
Tl 0.0000 0.0000 0.0000  4 Ru 2.71
Tl 0.7500 0.2500 0.5000  4 Ru 2.71
Ru 0.1773 0.6250 0.0523  2 Se 2.32
Ru 0.3750 0.4273 0.5523  2 Se 2.32
Ru 0.5727 0.1250 0.9477  2 Se 2.32
Ru 0.8750 0.8227 0.4477  2 Se 2.32
Se 0.2500 0.7500 0.5000  4 Ru 2.32
Se 0.5000 0.5000 0.0000  4 Ru 2.32

***

[3]
Computed, not measured: an optimized crystal structure of Ac4PbSeS2 at the PBE level of DFT.

Results
mass density: 8.1 g/cm3
formation energy from raw total energies: -1.577 eV per atom
SG: P2/m, No. 10

a b c (Å): 7.7782 4.5357 7.7954
angles (deg): 90.00 109.88 90.00
Closest atoms and distances in Å follow each position.
Fractional coordinates of all 8 atoms:
Ac 0.2305 0.0000 0.2373  3 S 3.09-3.15, 1 Se 3.23, 2 Pb 3.29
Ac 0.2357 0.5000 0.7499  3 S 3.10-3.14, 2 Se 3.23, 1 Pb 3.28
Ac 0.7643 0.5000 0.2501  3 S 3.10-3.14, 2 Se 3.23, 1 Pb 3.28
Ac 0.7695 0.0000 0.7627  3 S 3.09-3.15, 1 Se 3.23, 2 Pb 3.29
Pb 0.5000 0.5000 0.5000  6 Ac 3.28-3.29
Se 0.5000 0.0000 0.0000  6 Ac 3.23
S 0.0000 0.0000 0.5000  6 Ac 3.14-3.15
S 0.0000 0.5000 0.0000  6 Ac 3.09-3.10

***

[4]
Computed, not measured: an optimized crystal structure of YCdAs2 at the PBE level of DFT.

Results
calculated formation energy: -0.578 eV/atom
mass density: 6.0 g/cm3
SG: R-3m, No. 166

a b c (Å): 6.7458 6.7458 6.7458
angles (deg): 36.44 36.44 36.44
Closest atoms and distances in Å follow each position.
Fractional coordinates of all 4 atoms:
Y 0.0000 0.0000 0.0000  6 As 2.90
Cd 0.5000 0.5000 0.5000  6 As 2.90
As 0.2499 0.2499 0.2499  3 Cd 2.90, 3 Y 2.90
As 0.7501 0.7501 0.7501  3 Cd 2.90, 3 Y 2.90

***

[5]
Computed, not measured: an optimized crystal structure of MgMnTe2 at the PBE level of DFT.

Results
mass density: 4.2 g/cm3
formation energy from raw total energies: -0.475 eV per atom
SG: Cm, No. 8

a b c (Å): 4.5621 4.5621 7.8391
angles (deg): 106.93 106.93 60.01
Closest atoms and distances in Å follow each position.
Fractional coordinates of all 4 atoms:
Mg 0.0000 0.0000 0.0000  4 Te 2.81-2.82
Mn 0.5015 0.5015 0.5017  4 Te 2.74-2.77
Te 0.3773 0.3773 0.1312  1 Mn 2.74, 3 Mg 2.81
Te 0.8734 0.8734 0.6175  3 Mn 2.77, 1 Mg 2.82

***

[6]
Computed, not measured: an optimized crystal structure of ZnIn2F8 at the PBE level of DFT.

Results
mass density: 5.0 g/cm3
formation energy from raw total energies: -2.358 eV per atom
SG: C2/m, No. 12

a b c (Å): 5.8875 5.8875 4.6271
angles (deg): 100.32 100.32 71.09
Closest atoms and distances in Å follow each position.
Fractional coordinates of all 11 atoms:
Zn 0.0000 0.0000 0.0000  6 F 2.00-2.09
In 0.3351 0.3351 0.1026  5 F 2.06-2.21
In 0.6649 0.6649 0.8974  5 F 2.06-2.21
F 0.0637 0.6741 0.1670  1 Zn 2.09, 1 In 2.13
F 0.1735 0.1735 0.3320  1 Zn 2.00, 1 In 2.06
F 0.3259 0.9363 0.8330  1 Zn 2.09, 1 In 2.13
F 0.4300 0.4300 0.7262  2 In 2.14-2.21
F 0.5700 0.5700 0.2738  2 In 2.14-2.21
F 0.6741 0.0637 0.1670  1 Zn 2.09, 1 In 2.13
F 0.8265 0.8265 0.6680  1 Zn 2.00, 1 In 2.06
F 0.9363 0.3259 0.8330  1 Zn 2.09, 1 In 2.13

***

[7]
Computed, not measured: an optimized crystal structure of Rb6H4Au at the PBE level of DFT.

Results
energy: -2.179 eV per atom
mass density: 3.3 g/cm3
SG: Cmcm, No. 63

a b c (Å): 7.5086 7.5086 22.7593
angles (deg): 90.00 90.00 146.19
Closest atoms and distances in Å follow each position.
Fractional coordinates of all 22 atoms:
Rb 0.0000 0.0000 0.0000  6 H 2.96-3.07
Rb 0.0000 0.0000 0.5000  6 H 2.96-3.07
Rb 0.1616 0.8384 0.7500  2 H 3.21, 2 Au 3.49
Rb 0.2737 0.7263 0.0802  5 H 3.00-3.09
Rb 0.2737 0.7263 0.4198  5 H 3.00-3.09
Rb 0.4604 0.5396 0.6515  3 H 2.92-3.03
Rb 0.4604 0.5396 0.8485  3 H 2.92-3.03
Rb 0.5396 0.4604 0.1515  3 H 2.92-3.03
Rb 0.5396 0.4604 0.3485  3 H 2.92-3.03
Rb 0.7263 0.2737 0.5802  5 H 3.00-3.09
Rb 0.7263 0.2737 0.9198  5 H 3.00-3.09
Rb 0.8384 0.1616 0.2500  2 H 3.21, 2 Au 3.49
H 0.0948 0.9052 0.6153  6 Rb 2.96-3.21
H 0.0948 0.9052 0.8847  6 Rb 2.96-3.21
H 0.3631 0.6369 0.5387  6 Rb 2.92-3.09
H 0.3631 0.6369 0.9613  6 Rb 2.92-3.09
H 0.6369 0.3631 0.0387  6 Rb 2.92-3.09
H 0.6369 0.3631 0.4613  6 Rb 2.92-3.09
H 0.9052 0.0948 0.1153  6 Rb 2.96-3.21
H 0.9052 0.0948 0.3847  6 Rb 2.96-3.21
Au 0.1492 0.8508 0.2500  6 Rb 3.49-3.50
Au 0.8508 0.1492 0.7500  6 Rb 3.49-3.50

***

[8]
Computed, not measured: an optimized crystal structure of Sr3Tl8In3 at the PBE level of DFT.

Results
calculated formation energy: -0.217 eV/atom
mass density: 8.4 g/cm3
SG: Immm, No. 71

a b c (Å): 9.8142 9.8142 9.8142
angles (deg): 150.54 104.12 83.42
Closest atoms and distances in Å follow each position.
Fractional coordinates of all 14 atoms:
Sr 0.0000 0.0000 0.0000  8 Tl 3.53
Sr 0.2926 0.2926 0.0000  4 In 3.62-3.93, 8 Tl 3.62-3.78
Sr 0.7074 0.7074 0.0000  4 In 3.62-3.93, 8 Tl 3.62-3.78
Tl 0.9995 0.3681 0.6314  1 In 3.15, 4 Tl 3.17-3.25
Tl 0.0005 0.6319 0.3686  1 In 3.15, 4 Tl 3.17-3.25
Tl 0.1365 0.8446 0.2919  3 Tl 3.18-3.25, 3 In 3.39-3.42
Tl 0.2634 0.6319 0.6314  1 In 3.15, 4 Tl 3.17-3.25
Tl 0.4472 0.1554 0.2919  3 Tl 3.18-3.25, 3 In 3.39-3.42
Tl 0.5528 0.8446 0.7081  3 Tl 3.18-3.25, 3 In 3.39-3.42
Tl 0.7366 0.3681 0.3686  1 In 3.15, 4 Tl 3.17-3.25
Tl 0.8635 0.1554 0.7081  3 Tl 3.18-3.25, 3 In 3.39-3.42
In 0.3376 0.5000 0.8376  6 Tl 3.15-3.42, 2 In 3.17
In 0.5000 0.0000 0.5000  4 In 3.17, 4 Tl 3.39
In 0.6624 0.5000 0.1624  6 Tl 3.15-3.42, 2 In 3.17

***

[9]
Computed, not measured: an optimized crystal structure of BaBiS2 at the PBE level of DFT.

Results
mass density: 6.4 g/cm3
formation energy from raw total energies: -0.796 eV per atom
SG: Fm-3m, No. 225

a b c (Å): 5.3125 5.3125 5.3125
angles (deg): 60.00 60.00 60.00
Closest atoms and distances in Å follow each position.
Fractional coordinates of all 4 atoms:
Ba 0.0000 0.0000 0.0000  8 S 3.25
Bi 0.5000 0.5000 0.5000  8 S 3.25
S 0.2500 0.2500 0.2500  4 Ba 3.25, 4 Bi 3.25
S 0.7500 0.7500 0.7500  4 Ba 3.25, 4 Bi 3.25

***

[10]
Computed, not measured: an optimized crystal structure of Mg2InAg at the PBE level of DFT.

Results
calculated formation energy: -0.085 eV/atom
mass density: 5.2 g/cm3
SG: Cm, No. 8

a b c (Å): 3.2221 3.2221 9.7189
angles (deg): 98.59 98.59 59.79
Closest atoms and distances in Å follow each position.
Fractional coordinates of all 4 atoms:
Mg 0.0000 0.0000 0.0000  3 Ag 2.87-2.89, 3 In 3.15-3.19, 2 Mg 3.21
Mg 0.1888 0.1888 0.5400  3 Ag 2.88-2.90, 2 In 3.16, 6 Mg 3.21-3.22
In 0.7562 0.7562 0.2696  6 Mg 3.15-3.25, 6 In 3.21-3.22
Ag 0.5954 0.5954 0.7708  6 Mg 2.87-2.90, 2 Ag 3.21

***

- What is the mass density in the third record?
  8.1 g/cm3